Entry 1:
CsYH3: PBEsol geometry, meta-GGA SCAN.

The calculation puts the density of states at the Fermi level at 0.289 states/eV/atom. For the total DFT energy (no corrections), the calculation gives -14.1924 eV/atom.

Lattice parameters (Å, degrees): 4.838 4.838 4.838 90.00 90.00 90.00
Fractional coordinates of all 5 atoms:
1 Y 0.500 0.500 0.500
2 Cs 0.000 0.000 0.000
3 H 0.000 0.500 0.000
4 H 0.000 0.000 0.500
5 H 0.500 0.000 0.000

=====

Entry 2:
Cs3ZnH: PBEsol geometry, meta-GGA SCAN.

The calculation puts the density of states at the Fermi level at 0.748 states/eV/atom. For the total DFT energy (no corrections), the calculation gives -26.0387 eV/atom.

Lattice parameters (Å, degrees): 5.974 5.974 5.974 90.00 90.00 90.00
Fractional coordinates of all 5 atoms:
1 Cs 0.000 0.500 0.000
2 Cs 0.000 0.000 0.500
3 H 0.000 0.000 0.000
4 Cs 0.500 0.000 0.000
5 Zn 0.500 0.500 0.500